This record from the Alexandria database describes crystalline ReTcOsO2 at its relaxed geometry. The functional is GGA-PBEsol.

Unit cell a=3.6123 b=3.6123 c=5.6432 alpha=90.00 beta=90.00 gamma=90.00
Closest atoms and distances in Å follow each position.
Sites, in units of the cell vectors:
O1 0.5000 0.0000 0.0000  2 Tc 1.81
O2 0.0000 0.5000 0.0000  2 Tc 1.81
Tc1 0.0000 0.0000 0.0000  4 O 1.81
Re1 0.5000 0.5000 0.5000  4 Os 2.55
Os1 0.0000 0.0000 0.5000  4 Re 2.55, 2 Tc 2.82

Calculated values
For the energy relative to the elements, uncorrected, the calculation gives 1.54 eV/f.u. The density of states at the Fermi level is 3.20 states/eV per cell.

=====

This record from the Alexandria database describes crystalline Tl2AgPb at its relaxed geometry. The functional is GGA-PBEsol.

Unit cell a=3.4050 b=3.4050 c=10.3872 alpha=80.57 beta=80.57 gamma=60.00
Closest atoms and distances in Å follow each position.
Sites, in units of the cell vectors:
Tl1 0.9989 0.9989 0.0033  9 Tl 3.40-3.41, 3 Pb 3.47
Tl2 0.2411 0.2411 0.2766  3 Ag 2.99
Ag1 0.5010 0.5010 0.4969  3 Tl 2.99, 3 Pb 3.03
Pb1 0.7589 0.7589 0.7232  3 Ag 3.03

Calculated values
The formation energy comes out at 0.0948 eV per atom. The density of states at the Fermi level is 1.88 states/eV per cell.

=====

This record from the Alexandria database describes crystalline AgRhAu2 at its relaxed geometry. The functional is GGA-PBEsol.

Unit cell a=2.7828 b=2.7828 c=8.2293 alpha=90.00 beta=90.00 gamma=90.00
Closest atoms and distances in Å follow each position.
Sites, in units of the cell vectors:
Ag1 0.5000 0.5000 0.7416  4 Ag 2.78, 4 Rh 2.80, 4 Au 2.89
Au1 0.5000 0.5000 0.2602  8 Au 2.78-2.92, 4 Rh 2.79
Au2 0.0000 0.0000 0.9981  8 Au 2.78-2.92, 4 Ag 2.89
Rh1 0.0000 0.0000 0.5001  4 Rh 2.78, 4 Au 2.79, 4 Ag 2.80

Calculated values
As for the excess energy over the best structure of this formula in the dataset: 53 meV per atom. The formation energy comes out at 0.1410 eV per atom. The density of states at the Fermi level is 3.79 states/eV per cell.

=====

This record from the Alexandria database describes crystalline Zr2B2Mo at its relaxed geometry. The functional is GGA-PBEsol.

Unit cell a=3.3918 b=6.2862 c=6.2862 alpha=90.00 beta=90.00 gamma=90.00
Closest atoms and distances in Å follow each position.
Sites, in units of the cell vectors:
B1 0.0000 0.8974 0.6026  1 B 1.82
B2 0.0000 0.6026 0.1026  1 B 1.82
B3 0.0000 0.1026 0.3974  1 B 1.82
B4 0.0000 0.3974 0.8974  1 B 1.82
Zr1 0.5000 0.8157 0.3157  6 B 2.53-2.54
Zr2 0.5000 0.3157 0.1843  6 B 2.53-2.54
Zr3 0.5000 0.6843 0.8157  6 B 2.53-2.54
Zr4 0.5000 0.1843 0.6843  6 B 2.53-2.54
Mo1 0.0000 0.0000 0.0000  4 B 2.58, 8 Zr 2.86
Mo2 0.0000 0.5000 0.5000  4 B 2.58, 8 Zr 2.86

Calculated values
The formation energy comes out at -0.6170 eV per atom. The density of states at the Fermi level is 5.40 states/eV per cell.

=====

This record from the Alexandria database describes crystalline TcPF2 at its relaxed geometry. The functional is GGA-PBEsol.

Unit cell a=2.5479 b=2.5479 c=9.6733 alpha=82.43 beta=82.43 gamma=60.00
Closest atoms and distances in Å follow each position.
Sites, in units of the cell vectors:
Tc1 0.5000 0.5000 0.5000  6 Tc 2.55
F1 0.0572 0.0572 0.8284  1 P 1.64
F2 0.9428 0.9428 0.1716  1 P 1.64
P1 0.0000 0.0000 0.0000  2 F 1.64

Calculated values
As for the excess energy over the best structure of this formula in the dataset: 46 meV per atom. For the energy relative to the elements, uncorrected, the calculation gives -2.25 eV/f.u. The density of states at the Fermi level is 2.53 states/eV per cell.

=====

This record from the Alexandria database describes crystalline TiGa2F2 at its relaxed geometry. The functional is GGA-PBEsol.

Unit cell a=3.2287 b=3.2287 c=6.8800 alpha=103.57 beta=103.57 gamma=90.00
Closest atoms and distances in Å follow each position.
Sites, in units of the cell vectors:
F1 0.7500 0.2500 0.5000  4 Ga 2.20, 4 F 2.28
F2 0.2500 0.7500 0.5000  4 Ga 2.20, 4 F 2.28
Ti1 0.0000 0.0000 0.0000  8 Ga 2.88
Ga1 0.3651 0.3651 0.7302  4 F 2.20
Ga2 0.6349 0.6349 0.2698  4 F 2.20

Calculated values
For the energy relative to the elements, uncorrected, the calculation gives -5.15 eV/f.u. The density of states at the Fermi level is 3.39 states/eV per cell.

=====

This record from the Alexandria database describes crystalline SrNbAl3 at its relaxed geometry. The functional is GGA-PBEsol.

Unit cell a=5.2018 b=5.2018 c=5.2018 alpha=90.00 beta=90.00 gamma=90.00
Closest atoms and distances in Å follow each position.
Sites, in units of the cell vectors:
Sr1 0.0000 0.0000 0.0000  6 Al 2.60
Al1 0.0000 0.5000 0.0000  2 Sr 2.60
Al2 0.5000 0.0000 0.0000  2 Sr 2.60
Al3 0.0000 0.0000 0.5000  2 Sr 2.60
Nb1 0.5000 0.5000 0.5000  12 Al 3.68

Calculated values
The formation energy comes out at 2.0549 eV per atom. The density of states at the Fermi level is 8.65 states/eV per cell.

=====

This record from the Alexandria database describes crystalline LiTa2Pb at its relaxed geometry. The functional is GGA-PBEsol.

Unit cell a=4.1303 b=4.1303 c=5.1571 alpha=113.61 beta=113.61 gamma=90.00
Closest atoms and distances in Å follow each position.
Sites, in units of the cell vectors:
Li1 0.5000 0.5000 0.0000  8 Ta 2.92-2.96, 4 Pb 2.96
Ta1 0.0000 0.0000 0.0000  4 Li 2.92, 4 Ta 2.96, 4 Pb 2.96
Ta2 0.7500 0.2500 0.5000  4 Pb 2.92, 4 Ta 2.96, 4 Li 2.96
Pb1 0.2500 0.7500 0.5000  8 Ta 2.92-2.96, 4 Li 2.96

Calculated values
The formation energy comes out at 0.4647 eV per atom. The density of states at the Fermi level is 4.04 states/eV per cell.

=====

This record from the Alexandria database describes crystalline CoPRu at its relaxed geometry. The functional is GGA-PBEsol.

Unit cell a=3.7511 b=3.7511 c=3.7511 alpha=60.00 beta=60.00 gamma=60.00
Closest atoms and distances in Å follow each position.
Sites, in units of the cell vectors:
Co1 0.5000 0.5000 0.5000  4 P 2.30
P1 0.2500 0.2500 0.2500  4 Co 2.30, 4 Ru 2.30
Ru1 0.0000 0.0000 0.0000  4 P 2.30

Calculated values
The formation energy comes out at -0.4746 eV per atom. The density of states at the Fermi level is 4.15 states/eV per cell.

=====

This record from the Alexandria database describes crystalline TaFe4Cu at its relaxed geometry. The functional is GGA-PBEsol.

Unit cell a=4.6459 b=4.6459 c=4.6459 alpha=60.00 beta=60.00 gamma=60.00
Closest atoms and distances in Å follow each position.
Sites, in units of the cell vectors:
Cu1 0.0000 0.0000 0.0000  12 Fe 2.72, 4 Ta 2.85
Ta1 0.7500 0.7500 0.7500  12 Fe 2.73, 4 Cu 2.85
Fe1 0.3738 0.3738 0.8787  6 Fe 2.30-2.35
Fe2 0.3738 0.3738 0.3738  6 Fe 2.30-2.35
Fe3 0.8787 0.3738 0.3738  6 Fe 2.30-2.35
Fe4 0.3738 0.8787 0.3738  6 Fe 2.30-2.35

Calculated values
The formation energy comes out at -0.0748 eV per atom. The density of states at the Fermi level is 3.26 states/eV per cell.

=====

This record from the Alexandria database describes crystalline Hf3CdRe at its relaxed geometry. The functional is GGA-PBEsol.

Unit cell a=4.9812 b=4.9812 c=4.9812 alpha=90.00 beta=90.00 gamma=90.00
Closest atoms and distances in Å follow each position.
Sites, in units of the cell vectors:
Hf1 0.5000 0.0000 0.0000  2 Re 2.49
Hf2 0.0000 0.0000 0.5000  2 Re 2.49
Hf3 0.0000 0.5000 0.0000  2 Re 2.49
Cd1 0.5000 0.5000 0.5000  12 Hf 3.52
Re1 0.0000 0.0000 0.0000  6 Hf 2.49

Calculated values
The formation energy comes out at 0.6477 eV per atom. The density of states at the Fermi level is 7.23 states/eV per cell.

=====

This record from the Alexandria database describes crystalline Cd2HgPb at its relaxed geometry. The functional is GGA-PBEsol.

Unit cell a=3.3608 b=4.4769 c=6.3189 alpha=90.00 beta=90.00 gamma=90.00
Closest atoms and distances in Å follow each position.
Sites, in units of the cell vectors:
Pb1 0.5000 0.5000 0.7555  6 Cd 3.14-3.23, 4 Hg 3.30, 2 Pb 3.36
Cd1 0.0000 0.0000 0.0117  1 Hg 2.96, 4 Cd 3.19, 4 Pb 3.23
Cd2 0.5000 0.5000 0.2526  2 Pb 3.14-3.18, 4 Hg 3.15, 6 Cd 3.19-3.36
Hg1 0.0000 0.0000 0.4801  5 Cd 2.96-3.15, 4 Pb 3.30

Calculated values
As for the excess energy over the best structure of this formula in the dataset: 13 meV per atom. The formation energy comes out at 0.0454 eV per atom. The density of states at the Fermi level is 1.49 states/eV per cell.

=====

This record from the Alexandria database describes crystalline SrZr2Cd at its relaxed geometry. The functional is GGA-PBEsol.

Unit cell a=3.2470 b=5.7070 c=6.3885 alpha=116.53 beta=104.72 gamma=90.00
Closest atoms and distances in Å follow each position.
Sites, in units of the cell vectors:
Sr1 0.7585 0.2585 0.5170  2 Sr 3.25, 2 Cd 3.26, 6 Zr 3.28-3.50
Zr1 0.2493 0.7493 0.4985  4 Zr 2.97-3.25, 2 Cd 3.03, 4 Sr 3.28
Zr2 0.9761 0.9761 0.9523  4 Zr 2.97-3.25, 4 Cd 3.31
Cd1 0.5161 0.5161 0.0321  6 Zr 3.03-3.31, 2 Cd 3.25, 2 Sr 3.26

Calculated values
The formation energy comes out at 0.3584 eV per atom. The density of states at the Fermi level is 6.09 states/eV per cell.